# GGA-PBE Pm3Ir, relaxed
data_Pm3Ir
_space_group_name_H-M_alt 'P m m 2'
_space_group_IT_number 25
_cell_length_a 3.5695
_cell_length_b 3.7305
_cell_length_c 9.4370
_cell_angle_alpha 90.00
_cell_angle_beta 90.00
_cell_angle_gamma 90.00
loop_
_space_group_symop_operation_xyz
'x,y,z'
'-x,-y,z'
'-x,y,z'
'x,-y,z'
loop_
_atom_site_label
_atom_site_type_symbol
_atom_site_fract_x
_atom_site_fract_y
_atom_site_fract_z
_atom_site_occupancy
Pm1 Pm 0.0000 0.0000 0.0000 1
Pm2 Pm 0.0000 0.5000 0.3449 1
Pm3 Pm 0.5000 0.5000 0.7119 1
Ir1 Ir 0.5000 0.0000 0.4865 1
# Spin magnetization in Bohr magnetons per cell: 0.00
# Crystal system: orthorhombic
# Fermi-level density of states in states/eV per cell: 5.19
# Offset from the most stable computed form in eV per atom: 0.331
# Theoretical density in g/cm3: 8.29
# Energy of formation in eV per formula unit: -0.4